[1]
The following is a GGA-PBE calculation of a relaxed Ce2YP3Rh12 crystal, from Alexandria via LeMat-Bulk.

Energy relative to the elements ... -0.493 eV per atom
Energy ... -395.0 eV per cell

Unit cell a=8.7630 b=8.7630 c=13.4877 alpha=90.00 beta=90.00 gamma=120.00
Space group R-3m (No. 166, hexagonal axes)
Inequivalent atoms, fractional coordinates:
Ce (0.0000, 0.0000, 0.1151) x6
Y (0.0000, 0.0000, 0.5000) x3
P (0.0000, 0.5000, 0.0000) x9
Rh (0.0271, 0.5136, 0.8295) x18
Rh (0.0419, 0.5209, 0.3700) x18



[2]
The following is a GGA-PBE calculation of a relaxed PmHo3Tm crystal, from Alexandria via LeMat-Bulk.

Energy relative to the elements ... 0.009 eV per atom
Distance to the lowest polymorph of the same formula ... 0 meV/atom
Energy ... -45.8 eV per cell

Unit cell a=6.2662 b=5.6252 c=9.5676 alpha=90.00 beta=109.08 gamma=90.00
Space group P2_1/m (No. 11)
Inequivalent atoms, fractional coordinates:
Pm (0.0681, 0.2500, 0.2997) x2
Ho (0.1344, 0.7500, 0.0980) x2
Ho (0.2683, 0.2500, 0.7023) x2
Ho (0.3356, 0.7500, 0.5008) x2
Tm (0.4664, 0.2500, 0.0986) x2



Which value of energy does entry 1 give? -395.0 eV per cell



Number 1 is which compound? Ce2YP3Rh12



What did the second record say?
The following is a GGA-PBE calculation of a relaxed PmHo3Tm crystal, from Alexandria via LeMat-Bulk.

Energy relative to the elements ... 0.009 eV per atom
Distance to the lowest polymorph of the same formula ... 0 meV/atom
Energy ... -45.8 eV per cell

Unit cell a=6.2662 b=5.6252 c=9.5676 alpha=90.00 beta=109.08 gamma=90.00
Space group P2_1/m (No. 11)
Inequivalent atoms, fractional coordinates:
Pm (0.0681, 0.2500, 0.2997) x2
Ho (0.1344, 0.7500, 0.0980) x2
Ho (0.2683, 0.2500, 0.7023) x2
Ho (0.3356, 0.7500, 0.5008) x2
Tm (0.4664, 0.2500, 0.0986) x2